1.
Computed, not measured: a relaxed structure of Te6IrPt at the PBE level of DFT.

Computed properties:
The volume is 207.1 Å³ per cell. The value obtained for the uncorrected energy is -4.421 eV/atom.

Unit cell a=6.626 b=6.626 c=6.659 alpha=60.11 beta=60.15 gamma=60.01
Positions (direct):
Te: 0.052 0.454 0.750
Te: 0.257 0.948 0.249
Te: 0.454 0.744 0.750
Te: 0.743 0.052 0.751
Te: 0.546 0.256 0.250
Te: 0.948 0.546 0.250
Ir: 0.500 0.500 0.500
Pt: 0.000 0.000 0.000

---

2.
Computed, not measured: a relaxed structure of TeIrPt at the PBE level of DFT.

Computed properties:
The volume is 55.0 Å³ per cell. The value obtained for the uncorrected energy is -5.427 eV/atom. Its energy above the most stable polymorph in this dataset is 373 meV/atom.

Unit cell a=7.648 b=7.349 c=2.976 alpha=84.27 beta=72.95 gamma=22.78
Positions (direct):
Ir: 0.000 0.000 0.000
Te: 0.659 0.659 0.341
Pt: 0.340 0.340 0.660

---

3.
Computed, not measured: a relaxed structure of Th6Te3IrPt2 at the PBE level of DFT.

Computed properties:
The volume is 356.7 Å³ per cell. The value obtained for the uncorrected energy is -7.405 eV/atom.

Unit cell a=4.263 b=9.070 c=10.008 alpha=108.90 beta=102.30 gamma=90.00
Positions (direct):
Pt: 0.166 0.333 0.333
Pt: 0.834 0.667 0.667
Th: 0.346 0.898 0.692
Th: 0.654 0.102 0.308
Th: 0.992 0.777 0.985
Th: 0.324 0.438 0.648
Th: 0.676 0.562 0.352
Th: 0.008 0.223 0.015
Ir: 0.500 0.000 0.000
Te: 0.832 0.167 0.663
Te: 0.500 0.500 0.000
Te: 0.168 0.833 0.337

---

4.
Computed, not measured: a relaxed structure of Th6TeIr3Pt2 at the PBE level of DFT.

Computed properties:
The volume is 322.5 Å³ per cell. The value obtained for the uncorrected energy is -8.239 eV/atom.

Unit cell a=4.125 b=8.725 c=9.516 alpha=104.91 beta=102.52 gamma=90.00
Positions (direct):
Ir: 0.163 0.832 0.327
Ir: 0.500 0.500 0.000
Ir: 0.837 0.168 0.673
Th: 0.679 0.082 0.359
Th: 0.002 0.723 0.003
Th: 0.336 0.411 0.672
Th: 0.321 0.918 0.641
Th: 0.998 0.277 0.997
Th: 0.664 0.589 0.328
Te: 0.500 0.000 0.000
Pt: 0.168 0.334 0.336
Pt: 0.832 0.666 0.664

---

5.
Computed, not measured: a relaxed structure of TlTe2IrPt at the PBE level of DFT.

Computed properties:
The volume is 140.9 Å³ per cell. The value obtained for the uncorrected energy is -3.712 eV/atom.

Unit cell a=5.271 b=5.074 c=5.271 alpha=90.00 beta=90.00 gamma=90.00
Positions (direct):
Pt: 0.000 0.000 0.000
Te: 0.000 0.000 0.500
Te: 0.500 0.000 0.000
Tl: 0.000 0.500 0.000
Ir: 0.500 0.500 0.500

---

6.
Computed, not measured: a relaxed structure of ZrTeIr2Pt at the PBE level of DFT.

Computed properties:
The volume is 113.4 Å³ per cell. The value obtained for the uncorrected energy is -6.141 eV/atom.

Unit cell a=4.824 b=4.874 c=4.824 alpha=90.00 beta=90.00 gamma=90.00
Positions (direct):
Pt: 0.000 0.500 0.000
Te: 0.000 0.000 0.000
Zr: 0.500 0.500 0.500
Ir: 0.000 0.000 0.500
Ir: 0.500 0.000 0.000

---

7.
Computed, not measured: a relaxed structure of Th5Ir4Pt at the PBE level of DFT.

Computed properties:
The volume is 251.4 Å³ per cell. The value obtained for the uncorrected energy is -8.895 eV/atom. The energy relative to the elements comes out at -100.0 kJ/mol of atoms.

Unit cell a=4.137 b=5.861 c=10.972 alpha=105.49 beta=100.87 gamma=90.00
Positions (direct):
Ir: 0.201 0.201 0.402
Ir: 0.599 0.599 0.197
Ir: 0.799 0.799 0.598
Ir: 0.401 0.401 0.803
Th: 0.605 0.105 0.209
Th: 0.801 0.301 0.603
Th: 0.199 0.699 0.397
Th: 0.395 0.895 0.791
Th: 0.000 0.500 0.000
Pt: 0.000 0.000 0.000

---

8.
Computed, not measured: a relaxed structure of Th3IrPt2 at the PBE level of DFT.

Computed properties:
The volume is 309.1 Å³ per cell. The value obtained for the uncorrected energy is -8.359 eV/atom. The energy relative to the elements comes out at -111.8 kJ/mol of atoms.

Unit cell a=7.243 b=7.239 c=7.223 alpha=80.43 beta=59.90 gamma=70.63
Positions (direct):
Th: 0.081 0.756 0.340
Th: 0.579 0.244 0.340
Th: 0.421 0.756 0.660
Th: 0.260 0.241 0.000
Th: 0.740 0.759 0.000
Th: 0.919 0.244 0.660
Ir: 0.667 0.000 0.665
Ir: 0.333 0.000 0.335
Pt: 0.836 0.500 0.328
Pt: 0.000 0.000 0.000
Pt: 0.164 0.500 0.672
Pt: 0.500 0.500 0.000

---

9.
Computed, not measured: a relaxed structure of ThIrPt at the PBE level of DFT.

Computed properties:
The volume is 264.8 Å³ per cell. The value obtained for the uncorrected energy is -8.276 eV/atom. Its energy above the most stable polymorph in this dataset is 124 meV/atom. The energy relative to the elements comes out at -80.6 kJ/mol of atoms.

Unit cell a=4.395 b=4.395 c=15.826 alpha=90.00 beta=90.00 gamma=120.00
Positions (direct):
Th: 0.000 0.000 0.000
Th: 0.000 0.000 0.250
Th: 0.000 0.000 0.500
Th: 0.000 0.000 0.750
Ir: 0.667 0.333 0.375
Ir: 0.333 0.667 0.625
Ir: 0.667 0.333 0.125
Ir: 0.333 0.667 0.875
Pt: 0.333 0.667 0.374
Pt: 0.667 0.333 0.874
Pt: 0.333 0.667 0.126
Pt: 0.667 0.333 0.626

---

10.
Computed, not measured: a relaxed structure of Th3Ir7Pt2 at the PBE level of DFT.

Computed properties:
The volume is 224.3 Å³ per cell. The value obtained for the uncorrected energy is -8.793 eV/atom. The energy relative to the elements comes out at -73.6 kJ/mol of atoms.

Unit cell a=5.396 b=5.396 c=9.425 alpha=73.36 beta=73.36 gamma=60.00
Positions (direct):
Ir: 0.586 0.586 0.749
Ir: 0.414 0.414 0.251
Ir: 0.080 0.586 0.749
Ir: 0.500 0.500 0.500
Ir: 0.586 0.080 0.749
Ir: 0.414 0.920 0.251
Ir: 0.920 0.414 0.251
Th: 0.861 0.861 0.416
Th: 0.139 0.139 0.584
Th: 0.000 0.000 0.000
Pt: 0.334 0.334 0.999
Pt: 0.666 0.666 0.001

---

11.
Computed, not measured: a relaxed structure of ThIrPt at the PBE level of DFT.

Computed properties:
The volume is 66.5 Å³ per cell. The value obtained for the uncorrected energy is -8.266 eV/atom. Its energy above the most stable polymorph in this dataset is 134 meV/atom. The energy relative to the elements comes out at -79.7 kJ/mol of atoms.

Unit cell a=4.007 b=4.379 c=4.379 alpha=120.00 beta=90.00 gamma=90.00
Positions (direct):
Pt: 0.167 0.333 0.667
Th: 0.667 0.667 0.333
Ir: 0.167 0.000 0.000

---

12.
Computed, not measured: a relaxed structure of Th2IrPt at the PBE level of DFT.

Computed properties:
The volume is 102.3 Å³ per cell. The value obtained for the uncorrected energy is -8.563 eV/atom. The energy relative to the elements comes out at -108.8 kJ/mol of atoms.

Unit cell a=4.156 b=4.156 c=7.247 alpha=73.33 beta=73.33 gamma=60.00
Positions (direct):
Th: 0.747 0.747 0.760
Th: 0.253 0.253 0.240
Ir: 0.000 0.000 0.000
Pt: 0.500 0.500 0.500